Density functional theory data (PBE) for a relaxed structure of Ba3NaSi2O8.

a b c (Å): 5.884 5.884 14.928
angles (deg): 90.00 90.00 120.60
Each line ends with the local moment (μB).
Atoms (fractional coordinates):
1 Ba 0.340 0.660 0.421  -0.01
2 Ba 0.660 0.340 0.921  -0.01
3 Ba 0.025 0.975 0.250  -0.01
4 Ba 0.660 0.340 0.579  -0.01
5 Ba 0.340 0.660 0.079  -0.01
6 Ba 0.975 0.025 0.750  -0.01
7 O 0.376 0.168 0.096  0.02
8 O 0.363 0.637 0.750  0.00
9 O 0.624 0.832 0.596  0.02
10 O 0.168 0.376 0.596  0.02
11 O 0.702 0.298 0.750  0.67
12 O 0.170 0.830 0.621  0.04
13 O 0.830 0.170 0.379  0.04
14 O 0.637 0.363 0.250  0.00
15 O 0.832 0.624 0.096  0.02
16 O 0.832 0.624 0.404  0.02
17 O 0.624 0.832 0.904  0.02
18 O 0.298 0.702 0.250  0.67
19 O 0.170 0.830 0.879  0.04
20 O 0.168 0.376 0.904  0.02
21 O 0.830 0.170 0.121  0.04
22 O 0.376 0.168 0.404  0.02
23 Na 0.000 0.000 0.500  0.00
24 Na 0.000 0.000 0.000  0.00
25 Si 0.672 0.328 0.360  0.00
26 Si 0.328 0.672 0.640  0.00
27 Si 0.328 0.672 0.860  0.00
28 Si 0.672 0.328 0.140  0.00

The spin magnetization comes out at 0.07 μB per atom. The total energy comes out at -6.758 eV/atom.

***

Density functional theory data (PBE) for a relaxed structure of Ba4NaSm3O8.

a b c (Å): 7.309 7.542 7.310
angles (deg): 118.99 120.00 90.00
Atoms (fractional coordinates):
1 O 0.755 0.294 0.039
2 O 0.716 0.706 0.961
3 O 0.284 0.294 0.039
4 O 0.734 0.701 0.467
5 O 0.266 0.299 0.533
6 O 0.755 0.293 0.509
7 O 0.245 0.707 0.491
8 O 0.245 0.706 0.961
9 Ba 0.500 0.000 0.500
10 Ba 0.000 0.000 0.500
11 Ba 0.000 0.000 0.000
12 Ba 0.500 0.000 0.000
13 Sm 0.500 0.500 0.000
14 Sm 0.500 0.500 0.500
15 Sm 0.000 0.500 0.500
16 Na 0.000 0.500 0.000

The spin magnetization comes out at 0.00 μB per atom. The total energy comes out at -6.514 eV/atom.

***

> Number 2 is which compound?

Ba4NaSm3O8

***

> spin magnetization of number 2 (Ba4NaSm3O8)?

0.00 μB per atom

***

> spin magnetization of number 1 (Ba3NaSi2O8)?

0.07 μB per atom